# Cs2MoCF6 (GGA+U, relaxed)
# E in eV per atom: -4.682
# D(E_F) in states/eV/cell: 0.00
data_Cs2MoCF6
_symmetry_space_group_name_H-M 'P 1'
_symmetry_Int_Tables_number 1
_cell_length_a 6.865
_cell_length_b 6.865
_cell_length_c 6.865
_cell_angle_alpha 129.14
_cell_angle_beta 129.14
_cell_angle_gamma 74.79
loop_
_symmetry_equiv_pos_as_xyz
'x,y,z'
loop_
_atom_site_label
_atom_site_type_symbol
_atom_site_fract_x
_atom_site_fract_y
_atom_site_fract_z
_atom_site_occupancy
Cs1 Cs 0.250 0.750 0.500 1
Cs2 Cs 0.750 0.250 0.500 1
Mo1 Mo 0.000 0.000 0.000 1
C1 C 0.500 0.500 0.000 1
F1 F 0.191 0.191 0.000 1
F2 F 0.255 0.255 0.510 1
F3 F 0.255 0.745 0.000 1
F4 F 0.745 0.255 0.000 1
F5 F 0.745 0.745 0.490 1
F6 F 0.809 0.809 0.000 1